The following is a DFT calculation (PBE) of a relaxed structure of Hf3Ru2Rh.

Lattice parameters (Å, degrees): 3.2602 3.2602 9.6941 90.00 90.00 90.00
Last column: nearest neighbours and their distance in Å.
Sites, in units of the cell vectors:
Hf 0.0000 0.0000 0.0000  8 Ru 2.82
Hf 0.0000 0.0000 0.6680  4 Ru 2.80, 4 Rh 2.82
Hf 0.0000 0.0000 0.3320  4 Ru 2.80, 4 Rh 2.82
Ru 0.5000 0.5000 0.8323  8 Hf 2.80-2.82
Ru 0.5000 0.5000 0.1677  8 Hf 2.80-2.82
Rh 0.5000 0.5000 0.5000  8 Hf 2.82

Calculated values
symmetry	P4/mmm
ΔE_f	-0.833	eV/atom
M_tot	0.00	Bohr magnetons per cell
E_tot	-10.1270	eV/atom

The following is a DFT calculation (PBE) of a relaxed structure of Cs2GaTe4As.

Lattice parameters (Å, degrees): 6.8346 8.5369 13.6629 84.25 75.52 66.40
Last column: nearest neighbours and their distance in Å.
Sites, in units of the cell vectors:
Cs 0.1836 0.0000 0.6329  8 Te 4.07-4.27
Cs 0.8164 0.0000 0.3671  8 Te 4.07-4.27
Cs 0.5664 0.5000 0.8671  8 Te 4.07-4.27
Cs 0.9336 0.5000 0.1329  8 Te 4.07-4.27
Ga 0.2500 0.5000 0.5000  4 Te 2.68
Ga 0.5000 0.0000 0.0000  4 Te 2.68
Te 0.3003 0.8096 0.1155  1 Ga 2.68, 1 As 2.79
Te 0.2254 0.1904 0.8845  1 Ga 2.68, 1 As 2.79
Te 0.8901 0.8096 0.8845  1 Ga 2.68, 1 As 2.79
Te 0.5842 0.1904 0.1155  1 Ga 2.68, 1 As 2.79
Te 0.4497 0.6904 0.3845  1 Ga 2.68, 1 As 2.79
Te 0.5246 0.3096 0.6155  1 Ga 2.68, 1 As 2.79
Te 0.8599 0.6904 0.6155  1 Ga 2.68, 1 As 2.79
Te 0.1658 0.3096 0.3845  1 Ga 2.68, 1 As 2.79
As 0.7500 0.5000 0.5000  4 Te 2.79
As 0.0000 0.0000 0.0000  4 Te 2.79

Calculated values
symmetry	Fddd
raw formation energy	-578	meV/atom
M_tot	0.00	Bohr magnetons per cell
E_tot	-3.3222	eV/atom

The following is a DFT calculation (PBE) of a relaxed structure of RbZr2SCl.

Lattice parameters (Å, degrees): 4.8470 8.1417 4.8470 90.00 90.00 90.00
Last column: nearest neighbours and their distance in Å.
Sites, in units of the cell vectors:
S 0.0000 0.0000 0.0000  4 Zr 2.42
Rb 0.0000 0.5000 0.0000  4 Cl 3.43
Zr 0.0000 0.0000 0.5000  2 S 2.42
Zr 0.5000 0.0000 0.0000  2 S 2.42
Cl 0.5000 0.5000 0.5000  4 Rb 3.43

Calculated values
symmetry	P4/mmm
raw formation energy	-316	meV/atom
M_tot	3.01	Bohr magnetons per cell
E_tot	-5.1231	eV/atom

The following is a DFT calculation (PBE) of a relaxed structure of CaScPb2.

Lattice parameters (Å, degrees): 5.6573 5.6573 3.4724 90.00 90.00 102.25
Last column: nearest neighbours and their distance in Å.
Sites, in units of the cell vectors:
Pb 0.0000 0.0000 0.0000  4 Ca 3.32, 4 Sc 3.32, 4 Pb 3.47-3.55
Pb 0.5000 0.5000 0.0000  4 Sc 3.32, 4 Ca 3.32, 4 Pb 3.47-3.55
Sc 0.5000 0.0000 0.5000  8 Pb 3.32, 2 Sc 3.47, 2 Ca 3.55
Ca 0.0000 0.5000 0.5000  8 Pb 3.32, 2 Ca 3.47, 2 Sc 3.55

Calculated values
symmetry	Cmmm
ΔE_f	-0.378	eV/atom
M_tot	0.38	Bohr magnetons per cell
E_tot	-4.3154	eV/atom

The following is a DFT calculation (PBE) of a relaxed structure of LiCa2Mo.

Lattice parameters (Å, degrees): 5.3932 3.0703 5.7856 89.93 90.00 90.00
Last column: nearest neighbours and their distance in Å.
Sites, in units of the cell vectors:
Ca 0.0000 0.1236 0.9295  2 Li 2.99, 2 Ca 3.07, 4 Mo 3.21
Ca 0.5000 0.1265 0.2983  2 Ca 3.07, 4 Mo 3.22-3.34, 4 Li 3.28-3.29
Li 0.0000 0.6246 0.4853  6 Ca 2.99-3.29, 2 Li 3.07, 2 Mo 3.21
Mo 0.5000 0.6253 0.7870  2 Mo 3.07, 8 Ca 3.21-3.34, 2 Li 3.21

Calculated values
symmetry	Pm
ΔE_f	0.637	eV/atom
M_tot	0.00	Bohr magnetons per cell
E_tot	-3.5501	eV/atom
distance to the lowest polymorph of the same formula	0.071	eV/atom

The following is a DFT calculation (PBE) of a relaxed structure of HgRu2PbO.

Lattice parameters (Å, degrees): 5.1578 4.2734 5.1578 90.00 90.00 90.00
Last column: nearest neighbours and their distance in Å.
Sites, in units of the cell vectors:
Pb 0.0000 0.0000 0.0000  2 O 2.14
Ru 0.0000 0.0000 0.5000  2 Pb 2.58
Ru 0.5000 0.0000 0.0000  2 Pb 2.58
Hg 0.5000 0.5000 0.5000  8 Ru 3.35, 4 O 3.65
O 0.0000 0.5000 0.0000  2 Pb 2.14

Calculated values
symmetry	P4/mmm
raw formation energy	1385	meV/atom
M_tot	3.73	Bohr magnetons per cell
E_tot	-4.1192	eV/atom